Ce2BS4 | PBE | relaxed

extended XYZ file:
```
14
Lattice="6.3407 0.0000 -0.0034 0.0000 6.1539 0.0000 -2.3365 0.0000 7.3629" Properties=species:S:1:pos:R:3 pbc="T T T"
Ce 4.5399 4.6154 0.4330
Ce -0.5357 1.5385 6.9266
Ce 0.4137 1.5385 3.1744
Ce 3.5905 4.6154 4.1852
B 1.3536 4.6154 1.4849
B 2.6506 1.5385 5.8746
S 2.4734 3.1130 1.8826
S -1.4010 4.6154 6.9153
S 5.4052 1.5385 0.4443
S 2.4734 6.1179 1.8826
S 4.1817 1.5385 4.6098
S 1.5308 0.0360 5.4769
S 1.5308 3.0409 5.4769
S -0.1775 4.6154 2.7498
```

Output
- Calculated volume: 287.3 Å³/cell
- Magnetic moment: 5.1 Bohr magnetons per cell
- SG: No. 11
- ΔE_f (raw): -1362 meV/atom
- DOS at the Fermi energy: 13.287 states/eV/f.u.

***

CeBS2 | PBE | relaxed

extended XYZ file:
```
4
Lattice="3.0969 0.0000 0.0000 1.5485 2.6820 0.0000 1.5485 0.8940 8.0264" Properties=species:S:1:pos:R:3 pbc="T T T"
S 1.5485 0.8940 5.2095
S 4.6454 2.6820 2.8169
B 3.0969 1.7880 4.0132
Ce 0.0000 0.0000 0.0000
```

Output
- Calculated volume: 66.7 Å³/cell
- Magnetic moment: 0.1 Bohr magnetons per cell
- SG: No. 166
- ΔE_f (raw): 91 meV/atom
- DOS at the Fermi energy: 4.057 states/eV/f.u.

***

CeScB12 | PBE | relaxed

extended XYZ file:
```
14
Lattice="-0.2226 -2.1647 3.4733 2.7940 -2.6221 -1.4551 5.9742 4.5720 3.2324" Properties=species:S:1:pos:R:3 pbc="T T T"
Ce 2.9871 2.2860 1.6162
Sc 0.0000 0.0000 0.0000
B 2.8326 -0.6089 0.7637
B 5.8470 1.6980 2.3946
B 3.6732 -0.5663 2.3009
B 6.6724 1.7290 3.9237
B 1.9240 -0.4711 2.2481
B 4.9384 1.8358 3.8791
B 1.8732 -1.9439 1.3270
B 4.8724 0.3515 2.9497
B 3.6071 -2.0507 1.3715
B 6.6215 0.2563 3.0025
B 2.6985 -1.9129 2.8560
B 5.7129 0.3940 4.4869
```

Output
- Calculated volume: 137.6 Å³/cell
- Energy of formation from the pure elements: -0.357 eV per atom
- Magnetic moment: 0.9 Bohr magnetons per cell
- SG: No. 123
- DOS at the Fermi energy: 5.784 states/eV/f.u.

***

CeBSe2 | PBE | relaxed

extended XYZ file:
```
4
Lattice="3.2648 0.0000 0.0000 1.6324 2.8274 0.0000 1.6324 0.9425 8.5133" Properties=species:S:1:pos:R:3 pbc="T T T"
B 3.2648 1.8849 4.2567
Se 1.6324 0.9425 5.5639
Se 4.8972 2.8274 2.9495
Ce 0.0000 0.0000 0.0000
```

Output
- Calculated volume: 78.6 Å³/cell
- Magnetic moment: 0.7 Bohr magnetons per cell
- SG: No. 166
- ΔE_f (raw): 226 meV/atom
- DOS at the Fermi energy: 5.397 states/eV/f.u.

***

CeBSe6 | PBE | relaxed

extended XYZ file:
```
8
Lattice="-5.2299 -2.3235 -2.5162 2.0996 -6.9641 -2.0744 -0.0088 -4.8264 2.4047" Properties=species:S:1:pos:R:3 pbc="T T T"
Ce 0.0000 0.0000 0.0000
B -1.5651 -4.6438 -2.2953
Se -2.8369 -8.5643 -1.4890
Se -3.5993 -4.7174 -1.3859
Se 0.4603 -9.3967 -0.7999
Se -0.3022 -5.5497 -0.6969
Se -1.7997 -7.0077 -3.2908
Se -1.3305 -2.2799 -1.2998
```

Output
- Calculated volume: 177.3 Å³/cell
- Magnetic moment: 0.2 Bohr magnetons per cell
- SG: No. 12
- ΔE_f (raw): -286 meV/atom
- DOS at the Fermi energy: 4.684 states/eV/f.u.

***

Ce2BSe5 | PBE | relaxed

extended XYZ file:
```
8
Lattice="-5.3358 -4.7959 -0.0016 3.4567 -6.1627 -1.2442 1.2250 3.7671 4.5261" Properties=species:S:1:pos:R:3 pbc="T T T"
Ce 1.9879 -3.3860 1.1689
Ce -2.5115 -2.6866 1.8048
B 1.1076 3.1304 4.3949
Se -3.5284 -5.3211 0.5231
Se 0.7199 1.0617 3.9268
Se -0.2180 -4.0777 2.9427
Se 1.7876 -6.1474 -0.2283
Se -0.8640 -6.8086 1.3735
```

Output
- Calculated volume: 206.1 Å³/cell
- Magnetic moment: 1.0 Bohr magnetons per cell
- SG: No. 8
- ΔE_f (raw): -1081 meV/atom
- DOS at the Fermi energy: 9.542 states/eV/f.u.

***

Ce3BSe6 | PBE | relaxed

extended XYZ file:
```
20
Lattice="6.7718 0.0000 0.0000 0.0000 9.0178 0.0793 0.0000 -1.9350 8.8081" Properties=species:S:1:pos:R:3 pbc="T T T"
Ce 3.2593 6.9248 6.4187
Ce 6.6452 4.7115 8.1825
Ce 2.7390 2.3613 5.3842
Ce 6.1248 4.7215 3.5032
Ce 6.6452 0.1580 2.4687
Ce 3.2593 2.3712 0.7049
B 0.2277 0.2099 7.0987
B 3.6136 6.8729 1.7887
Se 1.3265 4.9392 5.6628
Se 4.7124 4.4178 6.0783
Se 1.1115 1.9218 7.9117
Se 4.4974 7.2834 3.6388
Se 0.9592 -1.3540 8.3451
Se 4.8956 0.3699 6.9712
Se 1.5097 6.7129 1.9162
Se 4.3451 8.4368 0.5424
Se 1.1115 -0.2006 5.2486
Se 4.4974 5.1610 0.9757
Se 1.3265 2.6650 2.8091
Se 4.7124 2.1435 3.2246
```

Output
- Calculated volume: 538.9 Å³/cell
- Magnetic moment: 6.0 Bohr magnetons per cell
- SG: No. 36
- ΔE_f (raw): -1337 meV/atom
- DOS at the Fermi energy: 20.385 states/eV/f.u.

***

CeBSe3 | PBE | relaxed

extended XYZ file:
```
10
Lattice="8.5319 -0.9399 -1.2849 -5.0068 6.9721 1.2849 -4.9273 -1.1667 7.0490" Properties=species:S:1:pos:R:3 pbc="T T T"
Ce -0.4743 5.3951 1.7313
Ce 0.0059 1.0683 5.3177
B -6.6588 5.4621 6.4224
B -1.9068 2.6851 1.9116
Se -5.6776 1.6656 7.3588
Se -3.1111 4.2119 2.2902
Se -4.7374 5.1623 6.0437
Se -1.9297 1.0478 3.0247
Se 2.8359 0.7365 -0.3097
Se 0.4579 3.6986 4.0243
```

Output
- Calculated volume: 353.2 Å³/cell
- Magnetic moment: 2.0 Bohr magnetons per cell
- SG: No. 46
- ΔE_f (raw): -839 meV/atom
- DOS at the Fermi energy: 3.374 states/eV/f.u.